# Ho2GaHPd6, optimized geometry, DFT PBE
data_Ho2GaHPd6
_chemical_formula_sum 'Ho4 Ga2 H2 Pd12'
_cell_length_a 9.827
_cell_length_b 5.688
_cell_length_c 6.786
_cell_angle_alpha 90.00
_cell_angle_beta 118.25
_cell_angle_gamma 90.00
_symmetry_space_group_name_H-M 'C 1 2/m 1'
_symmetry_Int_Tables_number 12
_symmetry_space_group_name_Hall '-C 2y'
loop_
_atom_site_label
_atom_site_fract_x
_atom_site_fract_y
_atom_site_fract_z
Ho1 0.226 0.000 0.173
Ga1 0.000 0.500 0.000
H1 0.000 0.000 0.500
Pd1 0.020 0.248 0.309
Pd2 0.229 0.000 0.694
# Size of the total moment ... 0.0 μB per cell
# DOS at the Fermi energy ... 6.2 states/eV per cell
# Energy ... -5.401 eV per atom

=====

# KCr2Cl, optimized geometry, DFT PBE
data_KCr2Cl
_chemical_formula_sum 'K4 Cr8 Cl4'
_cell_length_a 7.571
_cell_length_b 7.571
_cell_length_c 7.571
_cell_angle_alpha 90.00
_cell_angle_beta 90.00
_cell_angle_gamma 90.00
_symmetry_space_group_name_H-M 'F -4 3 m'
_symmetry_Int_Tables_number 216
_symmetry_space_group_name_Hall 'F -4 2 3'
loop_
_atom_site_label
_atom_site_fract_x
_atom_site_fract_y
_atom_site_fract_z
K1 0.000 0.000 0.000
Cr1 0.000 0.000 0.500
Cr2 0.250 0.250 0.250
Cl1 0.250 0.250 0.750
# Size of the total moment ... 40.1 μB per cell
# DOS at the Fermi energy ... 7.0 states/eV per cell
# Formation energy (no corrections) ... 0.75 eV per atom
# Energy ... -4.797 eV per atom

=====

# YMgZr2, optimized geometry, DFT PBE
data_YMgZr2
_chemical_formula_sum 'Y1 Mg1 Zr2'
_cell_length_a 3.340
_cell_length_b 5.297
_cell_length_c 5.602
_cell_angle_alpha 90.00
_cell_angle_beta 90.00
_cell_angle_gamma 90.00
_symmetry_space_group_name_H-M 'P m m m'
_symmetry_Int_Tables_number 47
_symmetry_space_group_name_Hall '-P 2 2'
loop_
_atom_site_label
_atom_site_fract_x
_atom_site_fract_y
_atom_site_fract_z
Y1 0.000 0.000 0.000
Mg1 0.500 0.500 0.000
Zr1 0.000 0.500 0.500
Zr2 0.500 0.000 0.500
# Size of the total moment ... 0.0 μB per cell
# DOS at the Fermi energy ... 4.4 states/eV per cell
# Energy of formation from the pure elements ... 126 meV per atom
# Energy ... -6.162 eV per atom

=====

# HoSO4, optimized geometry, DFT PBE
data_HoSO4
_chemical_formula_sum 'Ho2 S2 O8'
_cell_length_a 6.855
_cell_length_b 6.855
_cell_length_c 4.239
_cell_angle_alpha 90.00
_cell_angle_beta 90.00
_cell_angle_gamma 90.00
_symmetry_space_group_name_H-M 'I -4'
_symmetry_Int_Tables_number 82
_symmetry_space_group_name_Hall 'I -4'
loop_
_atom_site_label
_atom_site_fract_x
_atom_site_fract_y
_atom_site_fract_z
Ho1 0.000 0.000 0.000
S1 0.000 0.500 0.250
O1 0.004 0.677 0.049
# Size of the total moment ... 0.1 μB per cell
# DOS at the Fermi energy ... 1.9 states/eV per cell
# Formation energy (no corrections) ... -1.89 eV per atom
# Energy ... -6.647 eV per atom

=====

# NaSi, optimized geometry, DFT PBE
data_NaSi
_chemical_formula_sum 'Na8 Si8'
_cell_length_a 6.071
_cell_length_b 6.595
_cell_length_c 9.268
_cell_angle_alpha 90.00
_cell_angle_beta 90.00
_cell_angle_gamma 90.00
_symmetry_space_group_name_H-M 'P n m a'
_symmetry_Int_Tables_number 62
_symmetry_space_group_name_Hall '-P 2ac 2n'
loop_
_atom_site_label
_atom_site_fract_x
_atom_site_fract_y
_atom_site_fract_z
Na1 0.026 0.250 0.215
Na2 0.145 0.250 0.867
Si1 0.155 0.076 0.556
# Size of the total moment ... 0.0 μB per cell
# DOS at the Fermi energy ... 4.1 states/eV per cell
# Formation energy (no corrections) ... 0.08 eV per atom
# Energy ... -3.288 eV per atom

=====

# CsRb2AsF6, optimized geometry, DFT PBE
data_CsRb2AsF6
_chemical_formula_sum 'Cs4 Rb8 As4 F24'
_cell_length_a 9.723
_cell_length_b 9.723
_cell_length_c 9.723
_cell_angle_alpha 90.00
_cell_angle_beta 90.00
_cell_angle_gamma 90.00
_symmetry_space_group_name_H-M 'F m -3 m'
_symmetry_Int_Tables_number 225
_symmetry_space_group_name_Hall '-F 4 2 3'
loop_
_atom_site_label
_atom_site_fract_x
_atom_site_fract_y
_atom_site_fract_z
Cs1 0.000 0.000 0.000
Rb1 0.250 0.250 0.250
As1 0.000 0.000 0.500
F1 0.000 0.000 0.287
# Size of the total moment ... 0.0 μB per cell
# DOS at the Fermi energy ... 0.0 states/eV per cell
# Formation energy (no corrections) ... -2.47 eV per atom
# Energy ... -4.336 eV per atom

=====

Q: What is the energy in the fifth record?
A: -3.288 eV per atom

=====

Q: Among the records above, which one has the highest energy?
A: NaSi

=====

What did the fifth record say?
# NaSi, optimized geometry, DFT PBE
data_NaSi
_chemical_formula_sum 'Na8 Si8'
_cell_length_a 6.071
_cell_length_b 6.595
_cell_length_c 9.268
_cell_angle_alpha 90.00
_cell_angle_beta 90.00
_cell_angle_gamma 90.00
_symmetry_space_group_name_H-M 'P n m a'
_symmetry_Int_Tables_number 62
_symmetry_space_group_name_Hall '-P 2ac 2n'
loop_
_atom_site_label
_atom_site_fract_x
_atom_site_fract_y
_atom_site_fract_z
Na1 0.026 0.250 0.215
Na2 0.145 0.250 0.867
Si1 0.155 0.076 0.556
# Size of the total moment ... 0.0 μB per cell
# DOS at the Fermi energy ... 4.1 states/eV per cell
# Formation energy (no corrections) ... 0.08 eV per atom
# Energy ... -3.288 eV per atom